(1)
Compound: Li2IrPt
Source: Alexandria
Functional: PBE-GGA
Structure: relaxed

Cell: 8.7685 2.6802 4.7354 Å, 90.00 99.37 90.00°
With the nearest neighbours (Å) after each atom.
Positions (direct):
Li 0.2492 0.0000 0.2537  3 Ir 2.64-2.68, 3 Pt 2.67-2.68, 6 Li 2.68-2.75
Li 0.2508 0.5000 0.7463  3 Ir 2.64-2.68, 3 Pt 2.67-2.68, 6 Li 2.68-2.75
Li 0.7492 0.5000 0.2537  3 Ir 2.64-2.68, 3 Pt 2.67-2.68, 6 Li 2.68-2.75
Li 0.7508 0.0000 0.7463  3 Ir 2.64-2.68, 3 Pt 2.67-2.68, 6 Li 2.68-2.75
Ir 0.0000 0.0000 0.5000  6 Li 2.64-2.68, 2 Ir 2.68, 4 Pt 2.72
Ir 0.5000 0.5000 0.5000  6 Li 2.64-2.68, 2 Ir 2.68, 4 Pt 2.72
Pt 0.0000 0.5000 0.0000  6 Li 2.67-2.68, 2 Pt 2.68, 4 Ir 2.72
Pt 0.5000 0.0000 0.0000  6 Li 2.67-2.68, 2 Pt 2.68, 4 Ir 2.72

**Space-group type**: C2/m

***

(2)
Compound: LiIr2Pt
Source: Alexandria
Functional: PBE-GGA
Structure: relaxed

Cell: 2.7159 4.7062 9.2322 Å, 90.00 90.00 90.00°
With the nearest neighbours (Å) after each atom.
Positions (direct):
Li 0.0000 0.0000 0.0000  2 Pt 2.59, 2 Ir 2.65, 6 Li 2.72
Li 0.5000 0.5000 0.0000  2 Pt 2.59, 2 Ir 2.65, 6 Li 2.72
Ir 0.0000 0.0000 0.4931  8 Ir 2.65-2.72, 2 Pt 2.82
Ir 0.0000 0.5000 0.2471  8 Ir 2.65-2.72, 2 Li 2.65
Ir 0.5000 0.0000 0.2471  8 Ir 2.65-2.72, 2 Li 2.65
Ir 0.5000 0.5000 0.4931  8 Ir 2.65-2.72, 2 Pt 2.82
Pt 0.0000 0.5000 0.7612  2 Li 2.59, 6 Pt 2.72, 2 Ir 2.82
Pt 0.5000 0.0000 0.7612  2 Li 2.59, 6 Pt 2.72, 2 Ir 2.82

**Space-group type**: Cmm2

***

(3)
Compound: Li2IrPt
Source: Alexandria
Functional: PBE-GGA
Structure: relaxed

Cell: 2.7372 4.5816 4.4325 Å, 90.00 90.00 90.00°
With the nearest neighbours (Å) after each atom.
Positions (direct):
Li 0.0000 0.0000 0.0000  4 Ir 2.59-2.62, 6 Li 2.69-2.74
Li 0.5000 0.5000 0.0823  4 Pt 2.60-2.61, 6 Li 2.69-2.74
Ir 0.5000 0.0000 0.5033  4 Li 2.59-2.62, 4 Pt 2.69, 2 Ir 2.74
Pt 0.0000 0.5000 0.5798  4 Li 2.60-2.61, 4 Ir 2.69, 2 Pt 2.74

**Space-group type**: Pmm2

***

(4)
Compound: LiIr2Pt
Source: Alexandria
Functional: PBE-GGA
Structure: relaxed

Cell: 3.8097 3.8097 7.7208 Å, 90.00 90.00 90.00°
With the nearest neighbours (Å) after each atom.
Positions (direct):
Li 0.0000 0.0000 0.0000  4 Pt 2.69, 8 Ir 2.71
Li 0.5000 0.5000 0.5000  4 Pt 2.69, 8 Ir 2.71
Ir 0.0000 0.5000 0.2500  4 Ir 2.69, 4 Li 2.71, 4 Pt 2.71
Ir 0.0000 0.5000 0.7500  4 Ir 2.69, 4 Li 2.71, 4 Pt 2.71
Ir 0.5000 0.0000 0.2500  4 Ir 2.69, 4 Li 2.71, 4 Pt 2.71
Ir 0.5000 0.0000 0.7500  4 Ir 2.69, 4 Li 2.71, 4 Pt 2.71
Pt 0.0000 0.0000 0.5000  4 Li 2.69, 8 Ir 2.71
Pt 0.5000 0.5000 0.0000  4 Li 2.69, 8 Ir 2.71

**Space-group type**: I4/mmm

***

(5)
Compound: LiIrPt2
Source: Alexandria
Functional: PBE-GGA
Structure: relaxed

Cell: 2.7241 4.5596 9.9359 Å, 90.00 90.00 90.00°
With the nearest neighbours (Å) after each atom.
Positions (direct):
Li 0.0000 0.0000 0.0000  4 Pt 2.66, 2 Li 2.72
Li 0.5000 0.5000 0.5000  4 Pt 2.66, 2 Li 2.72
Ir 0.0000 0.5000 0.7706  6 Pt 2.62-2.68, 2 Ir 2.72
Ir 0.5000 0.0000 0.2706  6 Pt 2.62-2.68, 2 Ir 2.72
Pt 0.0000 0.0000 0.4960  2 Ir 2.62, 4 Li 2.66, 4 Pt 2.72
Pt 0.0000 0.5000 0.2334  4 Ir 2.68, 4 Pt 2.72, 2 Li 2.98
Pt 0.5000 0.0000 0.7334  4 Ir 2.68, 4 Pt 2.72, 2 Li 2.98
Pt 0.5000 0.5000 0.9960  2 Ir 2.62, 4 Li 2.66, 4 Pt 2.72

**Space-group type**: Imm2

***

(6)
Compound: LiIrPt2
Source: Alexandria
Functional: PBE-GGA
Structure: relaxed

Cell: 2.7234 3.9386 5.4072 Å, 90.00 90.08 90.00°
With the nearest neighbours (Å) after each atom.
Positions (direct):
Li 0.0000 0.0000 0.0000  2 Ir 2.70, 2 Li 2.72, 8 Pt 2.74-2.75
Ir 0.0000 0.0000 0.5000  2 Li 2.70, 2 Ir 2.72, 8 Pt 2.75
Pt 0.4998 0.5000 0.2485  4 Pt 2.69-2.72, 4 Li 2.74-2.75, 4 Ir 2.75
Pt 0.5002 0.5000 0.7515  4 Pt 2.69-2.72, 4 Li 2.74-2.75, 4 Ir 2.75

**Space-group type**: P2/m

***

(7)
Compound: Li2IrPt
Source: Alexandria
Functional: PBE-GGA
Structure: relaxed

Cell: 3.7208 3.7208 8.1181 Å, 90.00 90.00 90.00°
With the nearest neighbours (Å) after each atom.
Positions (direct):
Li 0.0000 0.5000 0.2500  4 Li 2.63, 4 Ir 2.75, 4 Pt 2.75
Li 0.0000 0.5000 0.7500  4 Li 2.63, 4 Ir 2.75, 4 Pt 2.75
Li 0.5000 0.0000 0.2500  4 Li 2.63, 4 Ir 2.75, 4 Pt 2.75
Li 0.5000 0.0000 0.7500  4 Li 2.63, 4 Ir 2.75, 4 Pt 2.75
Ir 0.0000 0.0000 0.0000  4 Pt 2.63, 8 Li 2.75
Ir 0.5000 0.5000 0.5000  4 Pt 2.63, 8 Li 2.75
Pt 0.0000 0.0000 0.5000  4 Ir 2.63, 8 Li 2.75
Pt 0.5000 0.5000 0.0000  4 Ir 2.63, 8 Li 2.75

**Space-group type**: I4/mmm

***

(8)
Compound: Li2IrPt
Source: Alexandria
Functional: PBE-GGA
Structure: relaxed

Cell: 3.7005 3.7005 17.8686 Å, 90.00 90.00 90.00°
With the nearest neighbours (Å) after each atom.
Positions (direct):
Li 0.2481 0.2500 0.1250  2 Ir 2.59, 2 Pt 2.59, 4 Li 2.61-2.63
Li 0.2500 0.7481 0.3750  2 Ir 2.59, 2 Pt 2.59, 4 Li 2.61-2.63
Li 0.2500 0.7519 0.8750  2 Ir 2.59, 2 Pt 2.59, 4 Li 2.61-2.63
Li 0.2519 0.2500 0.6250  2 Ir 2.59, 2 Pt 2.59, 4 Li 2.61-2.63
Li 0.7481 0.7500 0.6250  2 Ir 2.59, 2 Pt 2.59, 4 Li 2.61-2.63
Li 0.7500 0.2481 0.8750  2 Ir 2.59, 2 Pt 2.59, 4 Li 2.61-2.63
Li 0.7500 0.2519 0.3750  2 Ir 2.59, 2 Pt 2.59, 4 Li 2.61-2.63
Li 0.7519 0.7500 0.1250  2 Ir 2.59, 2 Pt 2.59, 4 Li 2.61-2.63
Ir 0.0000 0.0000 0.0000  4 Li 2.59, 4 Pt 2.62
Ir 0.0000 0.5000 0.2500  4 Li 2.59, 4 Pt 2.62
Ir 0.5000 0.0000 0.7500  4 Li 2.59, 4 Pt 2.62
Ir 0.5000 0.5000 0.5000  4 Li 2.59, 4 Pt 2.62
Pt 0.0000 0.0000 0.5000  4 Li 2.59, 4 Ir 2.62
Pt 0.0000 0.5000 0.7500  4 Li 2.59, 4 Ir 2.62
Pt 0.5000 0.0000 0.2500  4 Li 2.59, 4 Ir 2.62
Pt 0.5000 0.5000 0.0000  4 Li 2.59, 4 Ir 2.62

**Space-group type**: I-42d

***

no.,energy of formation from the pure elements (meV/atom),D(E_F) (states/eV/cell),calculated total energy (eV per atom)
1,-426,2.5,-5.11
2,30,10.1,-6.39
3,-367,2.7,-5.05
4,-101,5.8,-6.52
5,-141,9.9,-5.86
6,-210,3.5,-5.92
7,-191,9.1,-4.87
8,4,16.2,-4.68